10
Lattice="-5.787 -0.587 5.186 -3.082 -6.970 1.627 1.783 -3.403 7.460" Properties=species:S:1:pos:R:3 comment="Li2CaPbI6 | Alexandria via LeMat-Bulk | GGA-PBE | relaxed" volume_a3_per_cell=373 formation_energy_uncorrected_mev_per_atom=-1124 space_group=R3 m_tot_mub_per_atom=0.000 pbc="T T T"
I -6.633 -5.626 7.458
I -3.345 -3.865 9.647
I -3.162 -7.949 8.783
I -3.762 -7.214 4.564
I -3.876 -2.922 5.401
I -0.570 -5.290 6.869
Pb -6.300 -8.037 9.627
Ca -2.771 -2.554 2.474
Li 1.672 -3.382 7.337
Li -3.655 -5.459 7.013



10
Lattice="5.000 0.000 0.000 0.000 5.818 0.000 0.000 -2.909 5.038" Properties=species:S:1:pos:R:3 comment="K2CdNiH6 | Alexandria via LeMat-Bulk | GGA-PBE | relaxed" volume_a3_per_cell=147 space_group=P-3m1 m_tot_mub_per_atom=0.000 e_tot_ev_per_atom=-2.95 pbc="T T T"
H 4.049 0.000 1.375
H 4.049 -1.718 4.351
H 0.952 4.627 0.687
H 0.952 1.190 0.687
H 4.049 1.718 4.351
H 0.952 2.909 3.664
K 3.961 2.909 1.679
K 1.040 0.000 3.359
Ni 0.000 0.000 0.000
Cd 2.500 0.000 0.000



18
Lattice="7.063 0.000 0.000 0.000 9.284 0.000 0.000 -4.642 8.040" Properties=species:S:1:pos:R:3 comment="PmSm5Hg3 | Alexandria via LeMat-Bulk | GGA-PBE | relaxed" volume_a3_per_cell=527 formation_energy_ev_per_atom=-0.282 space_group=P6_3/mcm m_tot_mub_per_atom=0.000 pbc="T T T"
Sm 1.766 6.199 0.000
Sm 3.532 4.642 2.680
Sm 1.766 -3.099 5.369
Sm 5.297 3.099 5.369
Sm 5.297 7.741 2.671
Sm 5.297 3.085 0.000
Sm 1.766 1.542 2.671
Sm 3.532 0.000 5.359
Sm 0.000 4.642 2.680
Sm 0.000 0.000 5.359
Pm 0.000 0.000 0.000
Pm 3.532 0.000 0.000
Hg 1.766 3.112 0.000
Hg 1.766 3.086 5.345
Hg 5.297 1.556 2.695
Hg 5.297 6.198 5.345
Hg 1.766 -1.556 2.695
Hg 5.297 6.172 0.000



9
Lattice="-5.438 -4.112 2.015 -2.269 -5.228 -4.251 1.471 -7.106 2.009" Properties=species:S:1:pos:R:3 comment="Er6Mg2Sc | Alexandria via LeMat-Bulk | GGA-PBE | relaxed" volume_a3_per_cell=276 formation_energy_ev_per_atom=0.436 space_group=R3 m_tot_mub_per_atom=0.000 pbc="T T T"
Mg -4.742 -12.270 -0.214
Mg -4.094 -7.259 -0.779
Er -1.077 -7.416 0.926
Er -3.814 -9.617 1.750
Er -2.065 -10.007 -1.381
Er -2.929 -4.736 1.676
Er -1.324 -5.538 -1.840
Er 0.103 -2.581 0.352
Sc -2.421 -3.260 -0.644



16
Lattice="8.134 0.000 0.000 0.000 9.234 0.782 -4.067 -4.073 5.748" Properties=species:S:1:pos:R:3 comment="ZrU3Tl4Se8 | Alexandria via LeMat-Bulk | GGA-PBE | relaxed" volume_a3_per_cell=458 formation_energy_uncorrected_mev_per_atom=-899 space_group=R-3m m_tot_mub_per_atom=0.629 pbc="T T T"
Tl 2.033 -2.036 2.874
Tl 0.000 0.000 0.000
Tl -2.033 -2.036 2.874
Tl 4.067 0.000 0.000
Se 4.067 0.521 3.347
Se 6.173 2.630 0.371
Se -2.106 2.531 6.159
Se 4.067 4.631 3.279
Se 0.000 0.530 3.251
Se 1.961 2.630 0.371
Se 0.000 4.640 3.183
Se 2.106 2.531 6.159
Zr 0.000 4.617 0.391
U 2.033 2.581 3.265
U 4.067 4.617 0.391
U -2.033 2.581 3.265



84
Lattice="12.797 0.000 0.000 0.000 12.797 0.000 0.000 0.000 12.797" Properties=species:S:1:pos:R:3 comment="BaAl2S4 | Alexandria via LeMat-Bulk | GGA-PBE | relaxed" volume_a3_per_cell=2096 formation_energy_uncorrected_mev_per_atom=-1472 space_group=Pa-3 m_tot_mub_per_atom=0.000 pbc="T T T"
S 9.073 11.152 8.192
S 4.753 8.192 10.123
S 11.152 11.003 2.674
S 6.076 11.783 9.881
S 10.123 1.645 1.794
S 7.412 2.916 12.475
S 4.605 2.674 8.044
S 6.721 1.014 2.916
S 11.152 8.192 9.073
S 9.073 8.044 1.794
S 1.645 4.605 3.724
S 0.322 1.014 3.483
S 11.003 3.724 4.753
S 8.044 1.794 9.073
S 3.724 1.645 4.605
S 3.483 6.076 7.412
S 4.605 3.724 1.645
S 8.192 10.123 4.753
S 9.314 12.475 11.783
S 5.385 9.881 0.322
S 0.322 5.385 9.881
S 1.794 9.073 8.044
S 11.783 9.314 12.475
S 12.475 11.783 9.314
S 1.014 2.916 6.721
S 9.314 6.721 5.385
S 6.076 7.412 3.483
S 1.014 3.483 0.322
S 12.475 7.412 2.916
S 2.674 11.152 11.003
S 3.483 0.322 1.014
S 7.412 3.483 6.076
S 1.794 10.123 1.645
S 6.721 5.385 9.314
S 9.881 0.322 5.385
S 2.916 6.721 1.014
S 8.192 9.073 11.152
S 8.044 4.605 2.674
S 2.916 12.475 7.412
S 11.783 9.881 6.076
S 11.003 2.674 11.152
S 5.385 9.314 6.721
S 1.645 1.794 10.123
S 9.881 6.076 11.783
S 10.123 4.753 8.192
S 3.724 4.753 11.003
S 2.674 8.044 4.605
S 4.753 11.003 3.724
Al 11.178 10.289 8.234
Al 4.780 8.907 4.563
Al 4.780 10.289 10.962
Al 1.619 3.890 10.962
Al 11.178 8.907 1.835
Al 1.619 2.508 4.563
Al 10.289 10.962 4.780
Al 1.835 11.178 8.907
Al 8.017 2.508 1.835
Al 1.835 8.017 2.508
Al 8.234 8.017 3.890
Al 8.907 1.835 11.178
Al 8.907 4.563 4.780
Al 2.508 4.563 1.619
Al 4.563 1.619 2.508
Al 10.289 8.234 11.178
Al 3.890 10.962 1.619
Al 4.563 4.780 8.907
Al 2.508 1.835 8.017
Al 3.890 8.234 8.017
Al 8.017 3.890 8.234
Al 10.962 4.780 10.289
Al 8.234 11.178 10.289
Al 10.962 1.619 3.890
Ba 0.000 6.398 6.398
Ba 6.398 0.000 6.398
Ba 4.771 4.771 4.771
Ba 8.026 11.169 1.628
Ba 1.628 11.169 4.771
Ba 11.169 4.771 1.628
Ba 6.398 6.398 0.000
Ba 1.628 8.026 11.169
Ba 0.000 0.000 0.000
Ba 8.026 8.026 8.026
Ba 11.169 1.628 8.026
Ba 4.771 1.628 11.169